Record 1
# LiPaInNi

LiPaInNi after structural relaxation (PBE, Alexandria).

Lattice parameters (Å, degrees): 4.688 4.688 4.688 60.00 60.00 60.00
Fractional coordinates of all 4 atoms:
Li  0.000  0.000  0.000
Pa  0.750  0.750  0.750
In  0.250  0.250  0.250
Ni  0.500  0.500  0.500

Properties
**DFT formation energy**: -0.1304 eV/atom
**V**: 72.9 Å³ per cell
**Calculated density**: 9.4 g cm⁻³
**Calculated total energy**: -5.1128 eV per atom

=====

Record 2
# LiInNiPb

LiInNiPb after structural relaxation (PBE, Alexandria).

Lattice parameters (Å, degrees): 4.701 4.701 4.701 60.00 60.00 60.00
Fractional coordinates of all 4 atoms:
Li  0.000  0.000  0.000
In  0.750  0.750  0.750
Ni  0.500  0.500  0.500
Pb  0.250  0.250  0.250

Properties
**DFT formation energy**: -0.0664 eV/atom
**V**: 73.4 Å³ per cell
**Calculated density**: 8.8 g cm⁻³
**Calculated total energy**: -3.6019 eV per atom

=====

Record 3
# LiIn2NiPb

LiIn2NiPb after structural relaxation (PBE, Alexandria).

Lattice parameters (Å, degrees): 4.927 4.927 5.140 90.00 90.00 90.00
Fractional coordinates of all 5 atoms:
Li  0.000  0.000  0.000
In  0.000  0.500  0.500
In  0.500  0.000  0.500
Ni  0.500  0.500  0.500
Pb  0.500  0.500  0.000

Properties
**DFT formation energy**: 0.0239 eV/atom
**V**: 124.8 Å³ per cell
**Calculated density**: 6.7 g cm⁻³
**Calculated total energy**: -3.3522 eV per atom
**ΔE to the lowest computed polymorph**: 0.14 eV/f.u.

=====

Record 4
# LiIn2NiPb

LiIn2NiPb after structural relaxation (PBE, Alexandria).

Lattice parameters (Å, degrees): 4.943 4.943 4.870 90.00 90.00 90.00
Fractional coordinates of all 5 atoms:
Li  0.000  0.000  0.000
In  0.000  0.500  0.500
In  0.500  0.000  0.500
Ni  0.000  0.000  0.500
Pb  0.500  0.500  0.000

Properties
**DFT formation energy**: -0.0033 eV/atom
**V**: 119.0 Å³ per cell
**Calculated density**: 7.0 g cm⁻³
**Calculated total energy**: -3.3794 eV per atom
**ΔE to the lowest computed polymorph**: 0.00 eV/f.u.

=====

Record 5
# LiPmInNi

LiPmInNi after structural relaxation (PBE, Alexandria).

Lattice parameters (Å, degrees): 4.768 4.768 4.768 60.00 60.00 60.00
Fractional coordinates of all 4 atoms:
Li  0.000  0.000  0.000
Pm  0.250  0.250  0.250
In  0.750  0.750  0.750
Ni  0.500  0.500  0.500

Properties
**DFT formation energy**: -0.3222 eV/atom
**V**: 76.6 Å³ per cell
**Calculated density**: 7.1 g cm⁻³
**Calculated total energy**: -4.1183 eV per atom

=====

Record 6
# Li3Pm2InNi12

Li3Pm2InNi12 after structural relaxation (PBE, Alexandria).

Lattice parameters (Å, degrees): 9.389 9.389 9.389 37.55 37.55 37.55
Fractional coordinates of all 18 atoms:
Li  0.000  0.500  0.500
Li  0.500  0.000  0.500
Li  0.500  0.500  0.000
Pm  0.137  0.137  0.137
Pm  0.863  0.863  0.863
In  0.500  0.500  0.500
Ni  0.037  0.631  0.631
Ni  0.085  0.085  0.701
Ni  0.085  0.701  0.085
Ni  0.299  0.915  0.915
Ni  0.369  0.369  0.963
Ni  0.369  0.963  0.369
Ni  0.631  0.037  0.631
Ni  0.631  0.631  0.037
Ni  0.701  0.085  0.085
Ni  0.915  0.299  0.915
Ni  0.915  0.915  0.299
Ni  0.963  0.369  0.369

Properties
**DFT formation energy**: 0.1222 eV/atom
**V**: 275.7 Å³ per cell
**Calculated density**: 6.8 g cm⁻³
**Calculated total energy**: -4.7309 eV per atom